1.
! BeInRh2 | Alexandria via LeMat-Bulk | PBE-GGA | optimized geometry; values from VASP
! Space-group type: No. 216
! DFT total energy in eV/atom: -5.30
! DOS(E_F) in states/eV/atom: 1.43
! Energy of formation from the pure elements in eV/atom: -0.0059
&SYSTEM
  ibrav = 0, nat = 4, ntyp = 3
/
ATOMIC_SPECIES
Be 9.01 Be.upf
In 114.82 In.upf
Rh 102.91 Rh.upf
ATOMIC_POSITIONS angstrom
Be 0.000 0.000 0.000
In 1.543 1.543 1.543
Rh 3.087 3.087 3.087
Rh 4.630 4.630 4.630
CELL_PARAMETERS angstrom
0.000 3.087 3.087
3.087 0.000 3.087
3.087 3.087 0.000

---

2.
! CaAc3O | Alexandria via LeMat-Bulk | PBE-GGA | optimized geometry; values from VASP
! Space-group type: No. 221
! DFT total energy in eV/atom: -4.89
! DOS(E_F) in states/eV/atom: 0.81
! Formation energy from raw total energies in meV/atom: -1031.3
&SYSTEM
  ibrav = 0, nat = 5, ntyp = 3
/
ATOMIC_SPECIES
Ca 40.08 Ca.upf
Ac 227.00 Ac.upf
O 16.00 O.upf
ATOMIC_POSITIONS angstrom
Ca 0.000 0.000 0.000
Ac 0.000 2.734 2.734
Ac 2.734 0.000 2.734
Ac 2.734 2.734 0.000
O 2.734 2.734 2.734
CELL_PARAMETERS angstrom
5.468 0.000 0.000
0.000 5.468 0.000
0.000 0.000 5.468

---

3.
! MoOs2W | Alexandria via LeMat-Bulk | PBE-GGA | optimized geometry; values from VASP
! Space-group type: No. 225
! DFT total energy in eV/atom: -11.16
! DOS(E_F) in states/eV/atom: 1.47
! ΔE to the lowest computed polymorph in meV per atom: 333.7
! Energy of formation from the pure elements in eV/atom: 0.3967
&SYSTEM
  ibrav = 0, nat = 4, ntyp = 3
/
ATOMIC_SPECIES
Mo 95.94 Mo.upf
Os 190.23 Os.upf
W 183.84 W.upf
ATOMIC_POSITIONS angstrom
Mo 0.000 0.000 0.000
Os 1.566 1.566 1.566
Os 4.698 4.698 4.698
W 3.132 3.132 3.132
CELL_PARAMETERS angstrom
0.000 3.132 3.132
3.132 0.000 3.132
3.132 3.132 0.000

---

4.
! SrOsRh | Alexandria via LeMat-Bulk | PBE-GGA | optimized geometry; values from VASP
! Space-group type: No. 187
! DFT total energy in eV/atom: -6.05
! DOS(E_F) in states/eV/atom: 1.06
! ΔE to the lowest computed polymorph in meV per atom: 371.1
! Energy of formation from the pure elements in eV/atom: 0.7004
&SYSTEM
  ibrav = 0, nat = 3, ntyp = 3
/
ATOMIC_SPECIES
Sr 87.62 Sr.upf
Os 190.23 Os.upf
Rh 102.91 Rh.upf
ATOMIC_POSITIONS angstrom
Sr 0.000 0.000 0.000
Os 2.393 1.382 1.455
Rh 0.000 2.764 1.455
CELL_PARAMETERS angstrom
4.787 0.000 0.000
-2.393 4.145 0.000
0.000 0.000 2.909

---

5.
! K2Ga2As2S | Alexandria via LeMat-Bulk | PBE-GGA | optimized geometry; values from VASP
! Space-group type: No. 10
! DFT total energy in eV/atom: -3.58
! DOS(E_F) in states/eV/atom: 0.09
! Formation energy from raw total energies in meV/atom: -488.1
&SYSTEM
  ibrav = 0, nat = 7, ntyp = 4
/
ATOMIC_SPECIES
K 39.10 K.upf
Ga 69.72 Ga.upf
As 74.92 As.upf
S 32.06 S.upf
ATOMIC_POSITIONS angstrom
K -0.719 0.000 1.902
K 4.552 0.000 5.070
Ga 2.306 2.122 0.977
Ga 1.528 2.122 5.996
As 1.204 0.000 4.543
As 2.630 0.000 2.429
S 0.000 2.122 0.000
CELL_PARAMETERS angstrom
6.559 0.000 0.000
0.000 4.243 0.000
-2.726 0.000 6.973

---

6.
! Ac2InHg16 | Alexandria via LeMat-Bulk | PBE-GGA | optimized geometry; values from VASP
! Space-group type: No. 160
! DFT total energy in eV/atom: -0.99
! DOS(E_F) in states/eV/atom: 0.49
! Energy of formation from the pure elements in eV/atom: -0.1555
&SYSTEM
  ibrav = 0, nat = 19, ntyp = 3
/
ATOMIC_SPECIES
Ac 227.00 Ac.upf
In 114.82 In.upf
Hg 200.59 Hg.upf
ATOMIC_POSITIONS angstrom
Ac 0.000 0.000 0.000
Ac 0.000 0.000 5.355
In 0.000 0.000 10.426
Hg 0.000 -3.296 3.420
Hg -2.854 1.648 3.420
Hg -1.841 -1.063 8.274
Hg 0.000 -3.691 8.262
Hg -3.196 1.845 8.262
Hg -1.582 -2.690 11.421
Hg -3.120 -0.025 11.421
Hg 2.854 1.648 3.420
Hg 1.841 -1.063 8.274
Hg 0.000 2.126 8.274
Hg 1.582 -2.690 11.422
Hg -1.538 2.714 11.422
Hg 0.000 0.000 13.385
Hg 3.196 1.845 8.262
Hg 3.120 -0.025 11.422
Hg 1.538 2.714 11.422
CELL_PARAMETERS angstrom
5.118 2.955 5.649
-5.118 2.955 5.649
0.000 -5.910 5.649

---

7.
! LaNd5Tm3 | Alexandria via LeMat-Bulk | PBE-GGA | optimized geometry; values from VASP
! Space-group type: No. 140
! DFT total energy in eV/atom: -4.42
! DOS(E_F) in states/eV/atom: 1.66
! ΔE to the lowest computed polymorph in meV per atom: 0.0
! Energy of formation from the pure elements in eV/atom: 0.2697
&SYSTEM
  ibrav = 0, nat = 18, ntyp = 3
/
ATOMIC_SPECIES
La 138.91 La.upf
Nd 144.24 Nd.upf
Tm 168.93 Tm.upf
ATOMIC_POSITIONS angstrom
La 4.299 0.000 4.151
La 0.000 4.299 4.151
Nd 0.000 0.000 0.000
Nd 5.980 1.680 -2.300
Nd 1.680 2.619 -2.300
Nd 5.980 1.680 2.300
Nd 1.680 2.619 2.300
Nd 0.000 0.000 8.302
Nd 2.619 1.680 6.002
Nd -1.680 2.619 6.002
Nd 2.619 1.680 10.602
Nd -1.680 2.619 10.602
Tm 3.235 1.065 0.000
Tm 0.000 0.000 4.151
Tm 3.235 -1.065 8.302
Tm 1.065 5.364 0.000
Tm 0.000 0.000 12.453
Tm 1.065 3.235 8.302
CELL_PARAMETERS angstrom
-4.299 4.299 8.302
4.299 -4.299 8.302
4.299 4.299 -8.302

---

8.
! TlH2N | Alexandria via LeMat-Bulk | PBE-GGA | optimized geometry; values from VASP
! Space-group type: No. 225
! DFT total energy in eV/atom: -2.69
! DOS(E_F) in states/eV/atom: 0.49
! ΔE to the lowest computed polymorph in meV per atom: 1715.8
&SYSTEM
  ibrav = 0, nat = 4, ntyp = 3
/
ATOMIC_SPECIES
Tl 204.38 Tl.upf
H 1.01 H.upf
N 14.01 N.upf
ATOMIC_POSITIONS angstrom
Tl 0.000 0.000 0.000
H 1.340 1.340 1.340
H 4.020 4.020 4.020
N 2.680 2.680 2.680
CELL_PARAMETERS angstrom
0.000 2.680 2.680
2.680 0.000 2.680
2.680 2.680 0.000

---

9.
! KNa2Rh2 | Alexandria via LeMat-Bulk | PBE-GGA | optimized geometry; values from VASP
! Space-group type: No. 127
! DFT total energy in eV/atom: -3.23
! DOS(E_F) in states/eV/atom: 0.84
! ΔE to the lowest computed polymorph in meV per atom: 68.9
! Energy of formation from the pure elements in eV/atom: 0.4534
&SYSTEM
  ibrav = 0, nat = 10, ntyp = 3
/
ATOMIC_SPECIES
K 39.10 K.upf
Na 22.99 Na.upf
Rh 102.91 Rh.upf
ATOMIC_POSITIONS angstrom
K 0.000 0.000 0.000
K 4.434 4.434 0.000
Na 1.620 2.814 0.000
Na 2.814 7.248 0.000
Na 6.054 1.620 0.000
Na 7.248 6.054 0.000
Rh 0.889 5.323 1.397
Rh 3.545 0.889 1.397
Rh 5.323 7.978 1.397
Rh 7.978 3.545 1.397
CELL_PARAMETERS angstrom
8.868 0.000 0.000
0.000 8.868 0.000
0.000 0.000 2.794

---

10.
! Pa2Ni3P5 | Alexandria via LeMat-Bulk | PBE-GGA | optimized geometry; values from VASP
! Space-group type: No. 72
! DFT total energy in eV/atom: -7.07
! DOS(E_F) in states/eV/atom: 0.64
! Energy of formation from the pure elements in eV/atom: -0.7291
&SYSTEM
  ibrav = 0, nat = 20, ntyp = 3
/
ATOMIC_SPECIES
Pa 231.04 Pa.upf
Ni 58.69 Ni.upf
P 30.97 P.upf
ATOMIC_POSITIONS angstrom
Pa 1.887 1.728 0.000
Pa 1.887 -1.728 2.955
Pa 2.198 8.235 0.000
Pa 2.198 4.779 2.955
Ni 4.974 1.530 0.000
Ni 0.000 0.000 1.477
Ni 0.889 4.977 0.000
Ni 3.197 1.530 2.955
Ni 0.000 0.000 4.432
Ni -0.889 4.977 2.955
P 4.085 -2.989 1.477
P 7.121 1.260 0.000
P 4.085 0.000 1.477
P 3.035 5.247 0.000
P 4.085 2.989 1.477
P 0.000 3.518 1.477
P 1.050 1.260 2.955
P 0.000 6.507 1.477
P -3.035 5.247 2.955
P 0.000 9.496 1.477
CELL_PARAMETERS angstrom
-4.085 6.507 2.955
4.085 -6.507 2.955
4.085 6.507 -2.955